Material: Na2InCuI
Method: DFT, PBE
State: relaxed

Computed properties:
The total magnetization is 0.000 μB/cell. The calculated total energy is -0.141 Ry/atom.

Lattice parameters (Å, degrees): 5.7337 6.5927 5.7337 90.00 90.00 90.00
Fractional coordinates of all 5 atoms:
I: 0.0000 0.0000 0.0000
Na: 0.0000 0.0000 0.5000
Na: 0.5000 0.0000 0.0000
Cu: 0.5000 0.5000 0.5000
In: 0.0000 0.5000 0.0000

Material: TlCd2HPt
Method: DFT, PBE
State: relaxed

Computed properties:
The total magnetization is 0.000 μB/cell. The calculated total energy is -0.199 Ry/atom.

Lattice parameters (Å, degrees): 5.4711 5.4711 3.4511 90.00 90.00 90.00
Fractional coordinates of all 5 atoms:
H: 0.0000 0.0000 0.5000
Tl: 0.5000 0.5000 0.5000
Pt: 0.0000 0.0000 0.0000
Cd: 0.0000 0.5000 0.0000
Cd: 0.5000 0.0000 0.0000

Material: GaWSCl2
Method: DFT, PBE
State: relaxed

Computed properties:
The total magnetization is 4.444 μB/cell. The energy above the most stable polymorph in this dataset is 1443 meV per atom. The calculated total energy is -0.253 Ry/atom.

Lattice parameters (Å, degrees): 4.5641 5.9071 4.5641 90.00 90.00 90.00
Site moments in Bohr magnetons follow the coordinates.
Fractional coordinates of all 5 atoms:
S: 0.0000 0.0000 0.0000  -0.03
Ga: 0.0000 0.5000 0.0000  0.02
W: 0.5000 0.5000 0.5000  3.15
Cl: 0.0000 0.0000 0.5000  0.03
Cl: 0.5000 0.0000 0.0000  0.01

Material: Mg4SeO2
Method: DFT, PBE
State: relaxed

Computed properties:
The total magnetization is 0.000 μB/cell. The calculated total energy is -0.270 Ry/atom.

Lattice parameters (Å, degrees): 4.7250 4.7250 7.0443 70.40 70.40 90.00
Fractional coordinates of all 7 atoms:
Mg: 0.7523 0.7523 0.4954
Mg: 0.2477 0.2477 0.5046
Mg: 0.0000 0.5000 0.0000
Mg: 0.5000 0.0000 0.0000
O: 0.6011 0.6011 0.7979
O: 0.3989 0.3989 0.2021
Se: 0.0000 0.0000 0.0000

Material: ZrCu2Pt4
Method: DFT, PBE
State: relaxed

Computed properties:
The total magnetization is 0.000 μB/cell. As for the formation enthalpy at 0 K: -2.9 eV/f.u. The calculated total energy is -0.460 Ry/atom.

Lattice parameters (Å, degrees): 5.4800 5.4802 4.5951 103.53 103.53 61.38
Fractional coordinates of all 7 atoms:
Pt: 0.7373 0.2627 0.5000
Pt: 0.2627 0.7373 0.5000
Pt: 0.5000 0.0000 0.0000
Pt: 0.0000 0.5000 0.0000
Cu: 0.7466 0.7467 0.4890
Cu: 0.2534 0.2533 0.5110
Zr: 0.0000 0.0000 0.0000

Material: InOs2Au
Method: DFT, PBE
State: relaxed

Computed properties:
The total magnetization is 0.000 μB/cell. As for the formation enthalpy at 0 K: 1.5 eV/f.u. The calculated total energy is -0.495 Ry/atom.

Lattice parameters (Å, degrees): 3.5321 2.8197 7.5672 68.11 90.00 90.00
Fractional coordinates of all 4 atoms:
Au: 0.0000 0.5178 0.4819
In: 0.5000 0.7379 0.7623
Os: 0.0000 0.9597 0.0405
Os: 0.5000 0.2847 0.2153

Material: Hg2PBr
Method: DFT, PBE
State: relaxed

Computed properties:
The total magnetization is 0.000 μB/cell. The energy above the most stable polymorph in this dataset is 675 meV per atom. The calculated total energy is -0.106 Ry/atom.

Lattice parameters (Å, degrees): 3.5624 4.5578 6.1222 90.00 90.00 90.00
Fractional coordinates of all 4 atoms:
Br: 0.0000 0.5000 0.5000
Hg: 0.0000 0.0000 0.0000
Hg: 0.5000 0.5000 0.0000
P: 0.5000 0.0000 0.5000

Material: PuCu2Sb2
Method: DFT, PBE
State: relaxed

Computed properties:
The total magnetization is 10.778 μB/cell. The calculated total energy is -0.461 Ry/atom.

Lattice parameters (Å, degrees): 7.1879 7.1879 6.6587 119.30 119.30 96.65
Site moments in Bohr magnetons follow the coordinates.
Fractional coordinates of all 10 atoms:
Pu: 0.1191 0.8809 0.2500  5.31
Pu: 0.8809 0.1191 0.7500  5.31
Cu: 0.7656 0.5301 0.5453  -0.02
Cu: 0.4699 0.2344 0.9547  -0.02
Cu: 0.5301 0.7656 0.0453  -0.02
Cu: 0.2344 0.4699 0.4547  -0.02
Sb: 0.4085 0.5915 0.2500  -0.06
Sb: 0.8283 0.1717 0.2500  -0.04
Sb: 0.1717 0.8283 0.7500  -0.04
Sb: 0.5915 0.4085 0.7500  -0.06

Material: AlFeI3
Method: DFT, PBE
State: relaxed

Computed properties:
The total magnetization is 3.874 μB/cell. The energy above the most stable polymorph in this dataset is 0 meV per atom. The calculated total energy is -0.234 Ry/atom.

Lattice parameters (Å, degrees): 5.5487 5.5487 5.5487 90.00 90.00 90.00
Site moments in Bohr magnetons follow the coordinates.
Fractional coordinates of all 5 atoms:
I: 0.0000 0.5000 0.0000  0.09
I: 0.0000 0.0000 0.5000  0.06
I: 0.5000 0.0000 0.0000  0.12
Fe: 0.0000 0.0000 0.0000  3.30
Al: 0.5000 0.5000 0.5000  0.01

Material: Tl2InCuPb
Method: DFT, PBE
State: relaxed

Computed properties:
The total magnetization is 0.000 μB/cell. As for the formation enthalpy at 0 K: 1.0 eV/f.u. The calculated total energy is -0.211 Ry/atom.

Lattice parameters (Å, degrees): 5.2755 5.2755 5.1693 90.00 90.00 90.00
Fractional coordinates of all 5 atoms:
Pb: 0.5000 0.5000 0.5000
Tl: 0.0000 0.5000 0.0000
Tl: 0.5000 0.0000 0.0000
Cu: 0.0000 0.0000 0.0000
In: 0.0000 0.0000 0.5000